Entry 1:
Entry from Alexandria via LeMat-Bulk: a relaxed Y2HfZnW crystal (PBE).

a = 5.460 Å, b = 5.003 Å, c = 5.460 Å
α = 90.00°, β = 90.00°, γ = 90.00°
Fractional coordinates of all 5 atoms:
W: 0.000 0.000 0.000
Y: 0.500 0.000 0.000
Y: 0.000 0.000 0.500
Zn: 0.500 0.500 0.500
Hf: 0.000 0.500 0.000

Output
Total magnetic moment   0.000 μB/cell
N(E_F)   4.81 states/eV per cell
Total energy   -6.656 eV/atom
ΔH_f (0 K)   3.828 eV per formula unit
Theoretical density   6.743 g/cm3



Entry 2:
Entry from Alexandria via LeMat-Bulk: a relaxed Y2HfZnW crystal (PBE).

a = 5.393 Å, b = 4.971 Å, c = 5.393 Å
α = 90.00°, β = 90.00°, γ = 90.00°
Fractional coordinates of all 5 atoms:
Zn: 0.000 0.500 0.000
Y: 0.500 0.000 0.000
Y: 0.000 0.000 0.500
Hf: 0.000 0.000 0.000
W: 0.500 0.500 0.500

Output
Total magnetic moment   3.090 μB/cell
N(E_F)   6.92 states/eV per cell
Total energy   -5.686 eV/atom
ΔH_f (0 K)   8.681 eV per formula unit
Theoretical density   6.955 g/cm3



Entry 3:
Entry from Alexandria via LeMat-Bulk: a relaxed Hf2ZnW crystal (PBE).

a = 3.380 Å, b = 3.380 Å, c = 6.524 Å
α = 90.00°, β = 90.00°, γ = 90.00°
Fractional coordinates of all 4 atoms:
Hf: 0.000 0.000 0.240
Hf: 0.000 0.000 0.760
Zn: 0.500 0.500 0.500
W: 0.500 0.500 0.000

Output
Total magnetic moment   0.000 μB/cell
N(E_F)   4.16 states/eV per cell
Total energy   -8.635 eV/atom
ΔH_f (0 K)   -0.408 eV per formula unit
Theoretical density   13.511 g/cm3